Run P
A relaxed PrYLu crystal, computed with PBE.

a = 3.586 Å, b = 3.586 Å, c = 8.023 Å
α = 102.91°, β = 102.91°, γ = 90.00°
Fractional positions:
Lu1 0.665 0.665 0.331
Pr1 0.331 0.331 0.663
Y1 0.003 0.003 0.006

Run Q
A relaxed PrYLu crystal, computed with PBE.

a = 3.520 Å, b = 5.643 Å, c = 5.643 Å
α = 120.00°, β = 90.00°, γ = 90.00°
Fractional positions:
Y1 0.667 0.667 0.333
Pr1 0.166 0.000 0.000
Lu1 0.168 0.333 0.667

Q: Which of them is the least stable? A: run Q.

Run P
A relaxed PrLu2Zn crystal, computed with PBE.

a = 3.517 Å, b = 3.517 Å, c = 8.757 Å
α = 90.00°, β = 90.00°, γ = 90.00°
Fractional positions:
Zn1 0.500 0.500 0.000
Lu1 0.000 0.000 0.802
Pr1 0.500 0.500 0.500
Lu2 0.000 0.000 0.198

Run Q
A relaxed PrLu2Zn crystal, computed with PBE.

a = 4.785 Å, b = 4.730 Å, c = 4.730 Å
α = 90.00°, β = 90.00°, γ = 90.00°
Fractional positions:
Lu1 0.000 0.000 0.500
Zn1 0.500 0.000 0.000
Lu2 0.000 0.500 0.000
Pr1 0.500 0.500 0.500

Q: Which of them is the least stable? A: run Q.

Run P
A relaxed PrLu2Zr crystal, computed with PBE.

a = 3.437 Å, b = 3.437 Å, c = 11.455 Å
α = 81.37°, β = 81.37°, γ = 60.00°
Fractional positions:
Pr1 0.500 0.500 0.500
Zr1 0.000 0.000 0.000
Lu1 0.743 0.743 0.770
Lu2 0.257 0.257 0.230

Run Q
A relaxed PrLu2Zr crystal, computed with PBE.

a = 5.465 Å, b = 5.465 Å, c = 5.465 Å
α = 60.00°, β = 60.00°, γ = 60.00°
Fractional positions:
Pr1 0.500 0.500 0.500
Lu1 0.250 0.250 0.250
Lu2 0.750 0.750 0.750
Zr1 0.000 0.000 0.000

Run R
A relaxed PrLu2Zr crystal, computed with PBE.

a = 3.954 Å, b = 3.954 Å, c = 7.515 Å
α = 90.00°, β = 90.00°, γ = 90.00°
Fractional positions:
Lu1 0.000 0.000 0.783
Zr1 0.500 0.500 0.000
Pr1 0.500 0.500 0.500
Lu2 0.000 0.000 0.217

Run S
A relaxed PrLu2Zr crystal, computed with PBE.

a = 4.831 Å, b = 4.877 Å, c = 4.877 Å
α = 90.00°, β = 90.00°, γ = 90.00°
Fractional positions:
Lu1 0.000 0.500 0.000
Pr1 0.500 0.500 0.500
Lu2 0.000 0.000 0.500
Zr1 0.500 0.000 0.000

Q: Which of them is the least stable? A: run Q.

Run P
A relaxed LuPtRh crystal, computed with PBE.

a = 3.031 Å, b = 3.031 Å, c = 7.186 Å
α = 102.17°, β = 102.17°, γ = 90.00°
Fractional positions:
Pt1 0.762 0.762 0.523
Lu1 0.134 0.134 0.269
Rh1 0.954 0.954 0.908

Run Q
A relaxed LuPtRh crystal, computed with PBE.

a = 3.505 Å, b = 4.360 Å, c = 4.360 Å
α = 120.00°, β = 90.00°, γ = 90.00°
Fractional positions:
Lu1 0.667 0.667 0.333
Rh1 0.167 0.333 0.667
Pt1 0.167 0.000 0.000

Q: Which of them is the least stable? A: run P.

Run P
A relaxed LuSc2Pt crystal, computed with PBE.

a = 4.895 Å, b = 4.895 Å, c = 4.900 Å
α = 60.04°, β = 60.04°, γ = 60.00°
Fractional positions:
Pt1 0.500 0.500 0.500
Lu1 0.000 0.000 0.000
Sc1 0.250 0.250 0.251
Sc2 0.750 0.750 0.749

Run Q
A relaxed LuSc2Pt crystal, computed with PBE.

a = 3.374 Å, b = 3.374 Å, c = 7.899 Å
α = 90.00°, β = 90.00°, γ = 90.00°
Fractional positions:
Lu1 0.500 0.500 0.500
Sc1 0.000 0.000 0.198
Pt1 0.500 0.500 0.000
Sc2 0.000 0.000 0.802

Q: Which of them is the least stable? A: run P.

Run P
A relaxed SmLuPt2 crystal, computed with PBE.

a = 4.083 Å, b = 4.083 Å, c = 7.011 Å
α = 73.07°, β = 73.07°, γ = 60.00°
Fractional positions:
Pt1 0.744 0.744 0.767
Pt2 0.256 0.256 0.233
Lu1 0.000 0.000 0.000
Sm1 0.500 0.500 0.500

Run Q
A relaxed SmLuPt2 crystal, computed with PBE.

a = 4.952 Å, b = 4.952 Å, c = 4.952 Å
α = 60.00°, β = 60.00°, γ = 60.00°
Fractional positions:
Pt1 0.750 0.750 0.750
Pt2 0.250 0.250 0.250
Sm1 0.500 0.500 0.500
Lu1 0.000 0.000 0.000

Run R
A relaxed SmLuPt2 crystal, computed with PBE.

a = 3.479 Å, b = 3.479 Å, c = 7.058 Å
α = 90.00°, β = 90.00°, γ = 90.00°
Fractional positions:
Pt1 0.000 0.000 0.231
Lu1 0.500 0.500 0.000
Pt2 0.000 0.000 0.769
Sm1 0.500 0.500 0.500

Q: Which of them is the least stable? A: run P.